(1)
Computed, not measured: crystalline Pm3Pu2ThS6 at its relaxed geometry at the PBE level of DFT.

Structure (POSCAR):
```
Pm3Pu2ThS6
1.0
-1.711 1.230 3.395
-4.530 -6.649 0.127
8.007 -2.953 2.754
Pm Pu Th S
3 2 1 6
Cartesian
-3.121 -2.709 1.761
3.156 -2.052 4.686
-1.389 -6.320 1.590
0.892 -5.373 4.748
0.874 -2.999 1.527
-0.856 0.615 1.698
0.629 -7.618 3.078
-1.062 -4.021 3.274
1.137 -0.754 3.198
-1.124 -1.684 0.044
2.890 -6.688 6.232
2.828 -4.351 3.002
```

Properties
The crystal system is monoclinic. The calculation puts the formation energy from raw total energies at -1925 meV/atom. As for the space group: C2/m.

---

(2)
Computed, not measured: crystalline Pm2PuThS4 at its relaxed geometry at the PBE level of DFT.

Structure (POSCAR):
```
Pm2PuThS4
1.0
-2.906 -2.546 1.049
4.236 -5.374 -1.306
0.710 1.932 6.656
Pm Pu Th S
2 1 1 4
Cartesian
-1.098 -0.307 3.853
2.473 -1.721 2.675
0.665 -3.960 -0.128
0.000 0.000 0.000
-0.203 -2.153 1.853
2.243 -3.835 4.547
1.617 0.086 4.690
3.329 -3.528 0.661
```

Properties
The crystal system is monoclinic. The calculation puts the formation energy from raw total energies at -1922 meV/atom. As for the space group: P2/m.

---

(3)
Computed, not measured: crystalline PmPu2Tl3S6 at its relaxed geometry at the PBE level of DFT.

Structure (POSCAR):
```
PmPu2Tl3S6
1.0
-1.186 0.440 6.999
-5.415 -1.186 -4.456
3.280 -7.116 -0.201
Pm Pu Tl S
1 2 3 6
Cartesian
0.000 0.000 0.000
-4.005 -0.644 -0.638
-2.596 -0.102 3.181
-3.071 -4.473 -2.648
-0.251 -3.389 4.990
-1.661 -3.931 1.171
-1.694 -5.997 3.730
-4.143 -1.945 1.805
-1.627 -1.865 -1.388
-3.133 -6.550 -0.167
0.821 -5.917 0.537
-0.189 -1.312 2.509
```

Properties
The crystal system is monoclinic. The calculation puts the formation energy from raw total energies at -1289 meV/atom. As for the space group: C2/m.

---

(4)
Computed, not measured: crystalline Pm2TmPuS4 at its relaxed geometry at the PBE level of DFT.

Structure (POSCAR):
```
Pm2TmPuS4
1.0
3.944 0.000 0.000
0.000 6.863 0.132
0.000 -2.385 6.473
Pm Tm Pu S
2 1 1 4
Cartesian
1.972 -1.192 3.237
0.000 2.239 3.303
0.000 0.000 0.000
1.972 3.431 0.066
1.972 1.088 1.560
1.972 3.390 5.046
0.000 -0.102 4.958
0.000 4.580 1.647
```

Properties
The crystal system is monoclinic. The calculation puts the formation energy from raw total energies at -1960 meV/atom. As for the space group: P2/m.

---

(5)
Computed, not measured: crystalline PmYPu2S4 at its relaxed geometry at the PBE level of DFT.

Structure (POSCAR):
```
PmYPu2S4
1.0
3.963 0.000 0.000
0.000 6.924 0.144
0.000 -2.415 6.385
Pm Y Pu S
1 1 2 4
Cartesian
1.982 3.462 0.072
0.000 0.000 0.000
1.982 -1.207 3.192
0.000 2.255 3.264
1.982 1.102 1.633
1.982 3.407 4.895
0.000 -0.118 4.799
0.000 4.627 1.729
```

Properties
The crystal system is monoclinic. The calculation puts the formation energy from raw total energies at -1905 meV/atom. As for the space group: P2/m.

---

(6)
Computed, not measured: crystalline Pm3Y2PuS6 at its relaxed geometry at the PBE level of DFT.

Structure (POSCAR):
```
Pm3Y2PuS6
1.0
-1.348 -0.070 3.722
1.447 -7.862 0.376
8.101 3.600 0.896
Pm Y Pu S
3 2 1 6
Cartesian
0.049 -3.966 2.049
4.533 1.054 3.768
3.666 -5.386 1.226
5.285 -2.921 3.965
2.914 -1.412 1.029
-0.674 -0.035 1.861
6.280 -4.773 2.185
2.686 -3.359 3.015
1.920 0.441 2.809
0.386 -1.921 0.104
7.814 -2.411 4.890
5.513 -0.973 1.979
```

Properties
The crystal system is monoclinic. The calculation puts the formation energy from raw total energies at -1998 meV/atom. As for the space group: C2/m.

---

(7)
Computed, not measured: crystalline Pm4YPu3S8 at its relaxed geometry at the PBE level of DFT.

Structure (POSCAR):
```
Pm4YPu3S8
1.0
-0.548 7.165 3.416
-7.205 1.029 -3.315
1.423 -6.435 4.458
Pm Y Pu S
4 1 3 8
Cartesian
-0.274 3.583 1.708
0.437 0.365 3.937
0.000 0.000 0.000
0.711 -3.217 2.229
-3.602 0.515 -1.658
-3.876 4.097 0.051
-3.165 0.880 2.280
-2.891 -2.703 0.572
-4.064 -3.872 2.820
-4.777 -0.644 0.583
-1.280 -1.176 2.261
-4.339 -0.277 4.534
-1.991 2.037 0.025
-5.050 2.936 2.299
-1.553 2.403 3.976
-2.266 5.632 1.739
```

Properties
The crystal system is trigonal. The calculation puts the formation energy from raw total energies at -1950 meV/atom. As for the space group: R-3m.

---

(8)
Computed, not measured: crystalline PmPu2Sb3 at its relaxed geometry at the PBE level of DFT.

Structure (POSCAR):
```
PmPu2Sb3
1.0
4.104 0.000 -1.713
-1.217 5.431 -2.918
0.777 0.641 7.636
Pm Pu Sb
1 2 3
Cartesian
2.052 0.000 -0.856
0.125 3.825 0.300
3.539 2.247 2.706
1.444 2.715 -2.315
0.758 1.146 1.817
2.906 4.926 1.189
```

Properties
The crystal system is orthorhombic. The calculation puts the formation energy from raw total energies at -786 meV/atom. As for the space group: Immm.

---

(9)
Computed, not measured: crystalline PmPuSb at its relaxed geometry at the PBE level of DFT.

Structure (POSCAR):
```
PmPuSb
1.0
3.451 -0.071 -0.335
-1.404 5.818 -0.267
-1.771 -2.035 8.234
Sb Pu Pm
2 2 2
Cartesian
0.016 4.350 0.359
0.261 -0.639 7.273
-1.500 4.611 3.039
1.776 -0.900 4.593
-0.315 2.242 5.611
0.591 1.470 2.021
```

Properties
The crystal system is triclinic. The calculation puts the formation energy from raw total energies at -219 meV/atom. As for the space group: P-1.

---

(10)
Computed, not measured: crystalline Pm2PuSb at its relaxed geometry at the PBE level of DFT.

Structure (POSCAR):
```
Pm2PuSb
1.0
3.473 0.000 0.000
1.736 3.007 0.000
1.736 1.002 11.842
Sb Pm Pu
1 2 1
Cartesian
3.473 2.005 5.921
1.736 1.002 8.539
5.209 3.007 3.304
0.000 0.000 0.000
```

Properties
The crystal system is trigonal. The calculation puts the formation energy from raw total energies at 40 meV/atom. As for the space group: R-3m.

---

(11)
Computed, not measured: crystalline Pm4PuSb5 at its relaxed geometry at the PBE level of DFT.

Structure (POSCAR):
```
Pm4PuSb5
1.0
-3.452 -2.492 -1.401
2.830 -3.293 -1.116
-1.133 -3.265 15.767
Pm Pu Sb
4 1 5
Cartesian
-1.154 -4.922 11.596
-1.178 -6.590 7.453
-0.577 -2.460 5.797
-0.601 -4.128 1.654
0.000 0.000 0.000
-0.286 -1.220 2.874
-0.311 -2.892 -1.259
-1.469 -7.830 10.376
-0.866 -3.694 8.703
-0.889 -5.356 4.546
```

Properties
The crystal system is tetragonal. The calculation puts the formation energy from raw total energies at -1063 meV/atom. As for the space group: I4/mmm.

---

(12)
Computed, not measured: crystalline PmPu2Sb at its relaxed geometry at the PBE level of DFT.

Structure (POSCAR):
```
PmPu2Sb
1.0
5.058 0.000 0.000
0.000 4.618 0.000
0.000 0.000 4.618
Sb Pm Pu
1 1 2
Cartesian
2.529 0.000 0.000
2.529 2.309 2.309
0.000 0.000 2.309
0.000 2.309 0.000
```

Properties
The crystal system is tetragonal. The calculation puts the formation energy from raw total energies at -404 meV/atom. As for the space group: P4/mmm.

---

(13)
Computed, not measured: crystalline Pm2PuSb at its relaxed geometry at the PBE level of DFT.

Structure (POSCAR):
```
Pm2PuSb
1.0
-4.120 -1.380 3.280
-1.483 -5.217 0.460
0.986 -2.714 4.615
Sb Pm Pu
1 2 1
Cartesian
0.000 0.000 0.000
-1.154 -2.328 2.089
-3.463 -6.983 6.266
-2.309 -4.655 4.177
```

Properties
The crystal system is cubic. The calculation puts the formation energy from raw total energies at -241 meV/atom. As for the space group: Fm-3m.

---

(14)
Computed, not measured: crystalline PmPu3Sb4 at its relaxed geometry at the PBE level of DFT.

Structure (POSCAR):
```
PmPu3Sb4
1.0
7.697 0.069 0.000
-2.631 7.230 0.000
0.000 0.000 8.888
Sb Pu Pm
8 6 2
Cartesian
-0.642 1.817 5.533
3.177 1.878 7.761
3.207 1.851 3.355
7.026 1.913 1.126
-1.959 5.387 7.761
1.860 5.448 5.533
1.889 5.421 1.126
5.708 5.483 3.355
5.773 0.052 3.327
1.924 0.017 5.561
4.457 3.667 5.561
4.457 3.667 1.109
0.609 3.632 3.326
0.609 3.632 7.778
5.773 0.052 7.784
1.924 0.017 1.104
```

Properties
The crystal system is monoclinic. The calculation puts the formation energy from raw total energies at -730 meV/atom. As for the space group: P2/c.

---

(15)
Computed, not measured: crystalline PmPu2Sb at its relaxed geometry at the PBE level of DFT.

Structure (POSCAR):
```
PmPu2Sb
1.0
-0.281 -4.020 -1.155
2.340 -1.110 3.296
-5.348 -0.654 3.576
Sb Pm Pu
1 1 2
Cartesian
-1.644 -2.892 2.859
1.029 -2.565 1.071
-3.880 -0.474 2.595
-1.468 -0.179 0.981
```

Properties
The crystal system is tetragonal. The calculation puts the formation energy from raw total energies at -315 meV/atom. As for the space group: P4/mmm.

---

(16)
Computed, not measured: crystalline PmPuSb at its relaxed geometry at the PBE level of DFT.

Structure (POSCAR):
```
PmPuSb
1.0
-2.383 4.397 -1.486
-1.521 0.596 -4.955
-5.079 -0.060 -1.195
Sb Pm Pu
1 1 1
Cartesian
-2.246 1.233 -1.909
-4.491 2.467 -3.818
0.000 0.000 0.000
```

Properties
The crystal system is cubic. The calculation puts the formation energy from raw total energies at -354 meV/atom. As for the space group: F-43m.

---

(17)
Computed, not measured: crystalline Pm5PuSb4 at its relaxed geometry at the PBE level of DFT.

Structure (POSCAR):
```
Pm5PuSb4
1.0
-2.520 -1.510 3.272
6.570 -4.828 2.833
2.160 9.110 2.913
Pm Pu Sb
5 1 4
Cartesian
3.599 1.556 6.445
0.470 4.039 5.180
5.740 -1.267 3.837
2.025 -3.169 3.052
2.610 1.216 2.572
-1.260 -0.755 1.636
6.572 1.145 5.591
4.545 3.888 8.250
-0.362 1.627 3.427
1.665 -1.116 0.768
```

Properties
The crystal system is monoclinic. The calculation puts the formation energy from raw total energies at -682 meV/atom. As for the space group: C2/m.

---

(18)
Computed, not measured: crystalline Pm2PuSb at its relaxed geometry at the PBE level of DFT.

Structure (POSCAR):
```
Pm2PuSb
1.0
-3.480 0.378 2.041
1.278 -2.749 2.688
2.913 5.260 3.993
Sb Pm Pu
1 2 1
Cartesian
0.356 1.445 4.361
2.121 3.831 2.908
0.792 1.429 1.085
-1.101 -1.185 2.365
```

Properties
The crystal system is tetragonal. The calculation puts the formation energy from raw total energies at -380 meV/atom. As for the space group: P4/mmm.

---

(19)
Computed, not measured: crystalline PmPuSb at its relaxed geometry at the PBE level of DFT.

Structure (POSCAR):
```
PmPuSb
1.0
4.099 0.000 0.000
0.000 4.099 0.000
-2.049 -2.049 4.993
Sb Pu Pm
1 1 1
Cartesian
0.000 0.000 2.819
2.049 2.049 4.375
2.049 2.049 1.295
```

Properties
The crystal system is tetragonal. The calculation puts the formation energy from raw total energies at -494 meV/atom. As for the space group: I4mm.

---

(20)
Computed, not measured: crystalline PmPuSb at its relaxed geometry at the PBE level of DFT.

Structure (POSCAR):
```
PmPuSb
1.0
-0.213 -2.965 -1.470
-2.327 -1.979 4.330
-2.949 2.123 -3.857
Sb Pm Pu
1 1 1
Cartesian
-2.883 -1.219 -2.107
-2.570 -1.105 1.356
-0.036 -0.498 -0.247
```

Properties
The crystal system is trigonal. The calculation puts the formation energy from raw total energies at -159 meV/atom. As for the space group: P3m1.

---

Number 1: calculated volume 273 Å³ per cell. Number 2: calculated volume 183 Å³ per cell. Number 3: calculated volume 327 Å³ per cell. Number 4: calculated volume 176 Å³ per cell. Number 5: calculated volume 177 Å³ per cell. Number 6: calculated volume 268 Å³ per cell. Number 7: calculated volume 359 Å³ per cell. Number 8: calculated volume 186 Å³ per cell. Number 9: calculated volume 158 Å³ per cell. Number 10: calculated volume 124 Å³ per cell. Number 11: calculated volume 318 Å³ per cell. Number 12: calculated volume 108 Å³ per cell. Number 13: calculated volume 114 Å³ per cell. Number 14: calculated volume 496 Å³ per cell. Number 15: calculated volume 114 Å³ per cell. Number 16: calculated volume 100 Å³ per cell. Number 17: calculated volume 350 Å³ per cell. Number 18: calculated volume 118 Å³ per cell. Number 19: calculated volume 84 Å³ per cell. Number 20: calculated volume 81 Å³ per cell.